# 1
Cu2Sb2I: relaxed, PBE-GGA.

Properties
* crystal system: tetragonal
* energy relative to the elements, uncorrected: 0.2937 eV/atom
* total moment: 0.00 μB per formula unit
* energy above the lowest structure with this stoichiometry: 0.000 eV/atom
* electronic total energy: -33.04 eV for the cell shown

Unit cell a=7.7964 b=7.7964 c=4.0566 alpha=90.00 beta=90.00 gamma=90.00
With the nearest neighbours (Å) after each atom.
Atoms (fractional coordinates):
1 Cu 0.1134 0.3866 0.0000  1 Cu 2.50, 4 Sb 2.78
2 Cu 0.3866 0.8866 0.0000  1 Cu 2.50, 4 Sb 2.78
3 Cu 0.6134 0.1134 0.0000  1 Cu 2.50, 4 Sb 2.78
4 Cu 0.8866 0.6134 0.0000  1 Cu 2.50, 4 Sb 2.78
5 Sb 0.1294 0.6294 0.5000  4 Cu 2.78, 1 Sb 2.85
6 Sb 0.3706 0.1294 0.5000  4 Cu 2.78, 1 Sb 2.85
7 Sb 0.6294 0.8706 0.5000  4 Cu 2.78, 1 Sb 2.85
8 Sb 0.8706 0.3706 0.5000  4 Cu 2.78, 1 Sb 2.85
9 I 0.0000 0.0000 0.0000  4 Cu 3.14
10 I 0.5000 0.5000 0.0000  4 Cu 3.14


# 2
Ba4CuF2: relaxed, PBE-GGA.

Properties
* crystal system: tetragonal
* energy relative to the elements, uncorrected: -1.3704 eV/atom
* total moment: 0.00 μB per formula unit
* electronic total energy: -25.12 eV for the cell shown

Unit cell a=8.4179 b=8.4179 c=8.4179 alpha=137.49 beta=137.49 gamma=61.69
With the nearest neighbours (Å) after each atom.
Atoms (fractional coordinates):
1 Ba 0.0000 0.5000 0.5000  2 Cu 3.05, 4 F 3.31
2 Ba 0.2439 0.2439 0.0000  1 F 2.42
3 Ba 0.5000 0.0000 0.5000  2 Cu 3.05, 4 F 3.31
4 Ba 0.7561 0.7561 0.0000  1 F 2.42
5 Cu 0.0000 0.0000 0.0000  4 Ba 3.05
6 F 0.4115 0.4115 0.0000  1 Ba 2.42, 1 F 2.56
7 F 0.5885 0.5885 0.0000  1 Ba 2.42, 1 F 2.56


# 3
KB5O8: relaxed, PBE-GGA.

Properties
* crystal system: orthorhombic
* energy relative to the elements, uncorrected: -2.2623 eV/atom
* total moment: 0.00 μB per formula unit
* energy above the lowest structure with this stoichiometry: 0.182 eV/atom
* electronic total energy: -846.58 eV for the cell shown

Unit cell a=7.8146 b=12.6615 c=14.1899 alpha=90.00 beta=90.00 gamma=90.00
With the nearest neighbours (Å) after each atom.
Atoms (fractional coordinates):
1 K 0.0720 0.0951 0.2277  6 O 2.69-2.86
2 K 0.0720 0.4049 0.7277  6 O 2.69-2.86
3 K 0.4280 0.5951 0.2277  6 O 2.69-2.86
4 K 0.4280 0.9049 0.7277  6 O 2.69-2.86
5 K 0.5720 0.0951 0.2723  6 O 2.69-2.86
6 K 0.5720 0.4049 0.7723  6 O 2.69-2.86
7 K 0.9280 0.5951 0.2723  6 O 2.69-2.86
8 K 0.9280 0.9049 0.7723  6 O 2.69-2.86
9 B 0.1009 0.0346 0.6024  3 O 1.34-1.49
10 B 0.1009 0.4654 0.1024  3 O 1.34-1.49
11 B 0.1316 0.2132 0.9933  3 O 1.35-1.39
12 B 0.1316 0.2868 0.4933  3 O 1.35-1.39
13 B 0.1557 0.6434 0.4510  3 O 1.36-1.39
14 B 0.1557 0.8566 0.9510  3 O 1.36-1.39
15 B 0.2228 0.5425 0.9427  4 O 1.46-1.50
16 B 0.2228 0.9575 0.4427  4 O 1.46-1.50
17 B 0.2362 0.6687 0.7021  2 O 1.24-1.30
18 B 0.2362 0.8313 0.2021  2 O 1.24-1.30
19 B 0.2638 0.1687 0.7021  2 O 1.24-1.30
20 B 0.2638 0.3313 0.2021  2 O 1.24-1.30
21 B 0.2772 0.0425 0.9427  4 O 1.46-1.50
22 B 0.2772 0.4575 0.4427  4 O 1.46-1.50
23 B 0.3443 0.1434 0.4510  3 O 1.36-1.39
24 B 0.3443 0.3566 0.9510  3 O 1.36-1.39
25 B 0.3684 0.7132 0.9933  3 O 1.35-1.39
26 B 0.3684 0.7868 0.4933  3 O 1.35-1.39
27 B 0.3991 0.5346 0.6024  3 O 1.34-1.49
28 B 0.3991 0.9654 0.1024  3 O 1.34-1.49
29 B 0.6009 0.0346 0.8976  3 O 1.34-1.49
30 B 0.6009 0.4654 0.3976  3 O 1.34-1.49
31 B 0.6315 0.2132 0.5067  3 O 1.35-1.39
32 B 0.6315 0.2868 0.0067  3 O 1.35-1.39
33 B 0.6557 0.6434 0.0490  3 O 1.36-1.39
34 B 0.6557 0.8566 0.5490  3 O 1.36-1.39
35 B 0.7228 0.5425 0.5573  4 O 1.46-1.50
36 B 0.7228 0.9575 0.0573  4 O 1.46-1.50
37 B 0.7362 0.6687 0.7979  2 O 1.24-1.30
38 B 0.7362 0.8313 0.2979  2 O 1.24-1.30
39 B 0.7638 0.1687 0.7979  2 O 1.24-1.30
40 B 0.7638 0.3313 0.2979  2 O 1.24-1.30
41 B 0.7772 0.0425 0.5573  4 O 1.46-1.50
42 B 0.7772 0.4575 0.0573  4 O 1.46-1.50
43 B 0.8443 0.1434 0.0490  3 O 1.36-1.39
44 B 0.8443 0.3566 0.5490  3 O 1.36-1.39
45 B 0.8684 0.7132 0.5067  3 O 1.35-1.39
46 B 0.8684 0.7868 0.0067  3 O 1.35-1.39
47 B 0.8991 0.5346 0.8976  3 O 1.34-1.49
48 B 0.8991 0.9654 0.3976  3 O 1.34-1.49
49 O 0.0036 0.6990 0.4447  2 B 1.38-1.39
50 O 0.0036 0.8010 0.9447  2 B 1.38-1.39
51 O 0.0668 0.5490 0.8828  2 B 1.34-1.49
52 O 0.0668 0.9510 0.3828  2 B 1.34-1.49
53 O 0.1702 0.5480 0.4082  2 B 1.36-1.50
54 O 0.1702 0.9520 0.9082  2 B 1.36-1.50
55 O 0.1796 0.7423 0.2211  1 B 1.24
56 O 0.1796 0.7577 0.7211  1 B 1.24
57 O 0.1816 0.1404 0.9292  2 B 1.35-1.46
58 O 0.1816 0.3596 0.4292  2 B 1.35-1.46
59 O 0.1867 0.5292 0.0436  2 B 1.34-1.47
60 O 0.1867 0.9708 0.5436  2 B 1.34-1.47
61 O 0.2062 0.1871 0.4994  2 B 1.39
62 O 0.2062 0.3129 0.9994  2 B 1.39
63 O 0.2076 0.0750 0.6815  1 B 1.30
64 O 0.2076 0.4250 0.1815  1 B 1.30
65 O 0.2924 0.5750 0.6815  1 B 1.30
66 O 0.2924 0.9250 0.1815  1 B 1.30
67 O 0.2938 0.6871 0.4994  2 B 1.39
68 O 0.2938 0.8129 0.9994  2 B 1.39
69 O 0.3133 0.0292 0.0436  2 B 1.34-1.47
70 O 0.3133 0.4708 0.5436  2 B 1.34-1.47
71 O 0.3184 0.6404 0.9292  2 B 1.35-1.46
72 O 0.3184 0.8596 0.4292  2 B 1.35-1.46
73 O 0.3204 0.2423 0.2211  1 B 1.24
74 O 0.3204 0.2577 0.7211  1 B 1.24
75 O 0.3298 0.0480 0.4082  2 B 1.36-1.50
76 O 0.3298 0.4520 0.9082  2 B 1.36-1.50
77 O 0.4332 0.0490 0.8828  2 B 1.34-1.49
78 O 0.4332 0.4510 0.3828  2 B 1.34-1.49
79 O 0.4964 0.1990 0.4447  2 B 1.38-1.39
80 O 0.4964 0.3010 0.9447  2 B 1.38-1.39
81 O 0.5036 0.6990 0.0553  2 B 1.38-1.39
82 O 0.5036 0.8010 0.5553  2 B 1.38-1.39
83 O 0.5668 0.5490 0.6172  2 B 1.34-1.49
84 O 0.5668 0.9510 0.1172  2 B 1.34-1.49
85 O 0.6702 0.5480 0.0918  2 B 1.36-1.50
86 O 0.6702 0.9520 0.5918  2 B 1.36-1.50
87 O 0.6796 0.7423 0.2789  1 B 1.24
88 O 0.6796 0.7577 0.7789  1 B 1.24
89 O 0.6816 0.1404 0.5708  2 B 1.35-1.46
90 O 0.6816 0.3596 0.0708  2 B 1.35-1.46
91 O 0.6867 0.5292 0.4564  2 B 1.34-1.47
92 O 0.6867 0.9708 0.9564  2 B 1.34-1.47
93 O 0.7062 0.1871 0.0006  2 B 1.39
94 O 0.7062 0.3129 0.5006  2 B 1.39
95 O 0.7076 0.0750 0.8185  1 B 1.30
96 O 0.7076 0.4250 0.3185  1 B 1.30
97 O 0.7924 0.5750 0.8185  1 B 1.30
98 O 0.7924 0.9250 0.3185  1 B 1.30
99 O 0.7938 0.6871 0.0006  2 B 1.39
100 O 0.7938 0.8129 0.5006  2 B 1.39
101 O 0.8133 0.0292 0.4564  2 B 1.34-1.47
102 O 0.8133 0.4708 0.9564  2 B 1.34-1.47
103 O 0.8184 0.6404 0.5708  2 B 1.35-1.46
104 O 0.8184 0.8596 0.0708  2 B 1.35-1.46
105 O 0.8204 0.2423 0.2789  1 B 1.24
106 O 0.8204 0.2577 0.7789  1 B 1.24
107 O 0.8298 0.0480 0.0918  2 B 1.36-1.50
108 O 0.8298 0.4520 0.5918  2 B 1.36-1.50
109 O 0.9332 0.0490 0.6172  2 B 1.34-1.49
110 O 0.9332 0.4510 0.1172  2 B 1.34-1.49
111 O 0.9964 0.1990 0.0553  2 B 1.38-1.39
112 O 0.9964 0.3010 0.5553  2 B 1.38-1.39


> What is the total moment in the third record?

0.00 μB per formula unit


> Look up the energy relative to the elements, uncorrected of the second one.

-1.3704 eV/atom